Ce2PmOsN5 (PBE, optimized geometry); magnetic moment = 0.0 μB per cell; N(E_F) = 7.508 states/eV/f.u.; VASP energy = -8.63 eV per atom
1.0
6.6122 0.0000 0.0000
0.0000 6.6122 0.0000
-3.3061 -3.3061 5.8420
Ce Pm Os N
4 2 2 10
Cartesian
1.1706 2.1355 0.0000 Ce
4.4767 1.1706 0.0000 Ce
2.1355 5.4416 0.0000 Ce
5.4416 4.4767 0.0000 Ce
0.0000 0.0000 2.9210 Pm
3.3061 3.3061 2.9210 Pm
0.0000 3.3061 2.9210 Os
3.3061 0.0000 2.9210 Os
5.6265 2.3204 1.6298 N
2.3204 -0.9857 4.2122 N
-2.3204 0.9857 4.2122 N
-0.9857 -2.3204 4.2122 N
0.9857 2.3204 4.2122 N
4.2919 5.6265 1.6298 N
2.3204 0.9857 1.6298 N
0.9857 4.2919 1.6298 N
3.3061 3.3061 0.0000 N
0.0000 0.0000 0.0000 N